Entry 1:
The following is a meta-GGA SCAN calculation of a crystal of KZn5 relaxed with PBEsol, from Alexandria.

Computed properties:
energy of formation = 0.011 eV/atom
electronic total energy = -12.640 eV per atom
density of states at the Fermi level = 0.35 states/eV/atom
total magnetization = 0.0 Bohr magnetons per cell

Unit cell a=4.1649 b=5.5185 c=5.5185 alpha=120.00 beta=90.00 gamma=90.00
Last column: nearest neighbours and their distance in Å.
Fractional coordinates of all 6 atoms:
Zn (0.0000, 0.5000, 0.5000)  8 Zn 2.62-2.76
Zn (0.0000, 0.5000, 0.0000)  8 Zn 2.62-2.76
Zn (0.0000, 0.0000, 0.5000)  8 Zn 2.62-2.76
Zn (0.5000, 0.3333, 0.6667)  6 Zn 2.62
Zn (0.5000, 0.6667, 0.3333)  6 Zn 2.62
K (0.5000, 0.0000, 0.0000)  18 Zn 3.19-3.46

---

Entry 2:
The following is a meta-GGA SCAN calculation of a crystal of KZn2 relaxed with PBEsol, from Alexandria.

Computed properties:
energy of formation = -0.016 eV/atom
electronic total energy = -11.803 eV per atom
density of states at the Fermi level = 0.31 states/eV/atom
total magnetization = 0.0 Bohr magnetons per cell

Unit cell a=4.3926 b=5.2299 c=6.6033 alpha=113.33 beta=90.00 gamma=90.00
Last column: nearest neighbours and their distance in Å.
Fractional coordinates of all 6 atoms:
Zn (0.7500, 0.1405, 0.5350)  6 Zn 2.57-2.65
Zn (0.2500, 0.8595, 0.4650)  6 Zn 2.57-2.65
Zn (0.7500, 0.6055, 0.4650)  6 Zn 2.57-2.65
Zn (0.2500, 0.3945, 0.5350)  6 Zn 2.57-2.65
K (0.7500, 0.7601, 0.0000)  8 Zn 3.30-3.64, 4 K 3.33-3.50
K (0.2500, 0.2399, 0.0000)  8 Zn 3.30-3.64, 4 K 3.33-3.50

---

Entry 3:
The following is a meta-GGA SCAN calculation of a crystal of K4ZrZn relaxed with PBEsol, from Alexandria.

Computed properties:
energy of formation = 0.952 eV/atom
electronic total energy = -11.969 eV per atom
density of states at the Fermi level = 1.40 states/eV/atom
total magnetization = 4.1 Bohr magnetons per cell

Unit cell a=7.1178 b=7.1178 c=7.1178 alpha=60.00 beta=60.00 gamma=60.00
Last column: nearest neighbours and their distance in Å.
Fractional coordinates of all 6 atoms:
K (0.3751, 0.3751, 0.3751)  6 K 3.56
K (0.3751, 0.3751, 0.8747)  6 K 3.56
K (0.8747, 0.3751, 0.3751)  6 K 3.56
K (0.3751, 0.8747, 0.3751)  6 K 3.56
Zn (0.7500, 0.7500, 0.7500)  12 K 4.17, 4 Zr 4.36
Zr (0.0000, 0.0000, 0.0000)  12 K 4.17, 4 Zn 4.36